1 | This record from Alexandria via LeMat-Bulk describes a relaxed structure of LaYRu. The functional is GGA-PBEsol.

Results
**Crystal system**: cubic

a b c (Å): 6.797 6.797 6.797
angles (deg): 90.00 90.00 90.00
Space group F-43m (No. 216)
Symmetry-distinct sites (fractional):
1 La 0.000 0.000 0.000 [4 per cell]
2 Y 0.000 0.000 0.500 [4 per cell]
3 Ru 0.250 0.250 0.250 [4 per cell]


2 | This record from Alexandria via LeMat-Bulk describes a relaxed structure of LaYRu. The functional is GGA-PBEsol.

Results
**Crystal system**: tetragonal

a b c (Å): 3.402 3.402 13.372
angles (deg): 90.00 90.00 90.00
Space group I4mm (No. 107)
Symmetry-distinct sites (fractional):
1 La 0.000 0.000 0.000 [2 per cell]
2 Y 0.000 0.000 0.251 [2 per cell]
3 Ru 0.000 0.000 0.632 [2 per cell]


Energetically preferred structure: 2 | next structure: +3.6 kJ/mol of atoms


1 | This record from Alexandria via LeMat-Bulk describes a relaxed structure of LaZr2Ru. The functional is GGA-PBEsol.

Results
**Crystal system**: tetragonal

a b c (Å): 3.274 3.274 7.998
angles (deg): 90.00 90.00 90.00
Space group P4/mmm (No. 123)
Symmetry-distinct sites (fractional):
1 La 0.000 0.000 0.000 [1 per cell]
2 Zr 0.500 0.500 0.305 [2 per cell]
3 Ru 0.000 0.000 0.500 [1 per cell]


2 | This record from Alexandria via LeMat-Bulk describes a relaxed structure of LaZr2Ru. The functional is GGA-PBEsol.

Results
**Crystal system**: monoclinic

a b c (Å): 3.258 4.364 6.326
angles (deg): 90.00 97.52 90.00
Space group Pm (No. 6)
Symmetry-distinct sites (fractional):
1 La 0.000 0.000 0.000 [1 per cell]
2 Zr 0.419 0.500 0.660 [1 per cell]
3 Zr 0.895 0.000 0.438 [1 per cell]
4 Ru 0.480 0.500 0.272 [1 per cell]


Energetically preferred structure: 1 | next structure: +19.9 kJ/mol of atoms


1 | This record from Alexandria via LeMat-Bulk describes a relaxed structure of La3Sb. The functional is GGA-PBEsol.

Results
**Crystal system**: tetragonal

a b c (Å): 4.869 4.869 19.961
angles (deg): 90.00 90.00 90.00
Space group I4/mmm (No. 139)
Symmetry-distinct sites (fractional):
1 La 0.000 0.000 0.125 [4 per cell]
2 La 0.000 0.500 0.000 [4 per cell]
3 La 0.000 0.500 0.250 [4 per cell]
4 Sb 0.000 0.000 0.376 [4 per cell]


2 | This record from Alexandria via LeMat-Bulk describes a relaxed structure of La3Sb. The functional is GGA-PBEsol.

Results
**Crystal system**: cubic

a b c (Å): 4.905 4.905 4.905
angles (deg): 90.00 90.00 90.00
Space group Pm-3m (No. 221)
Symmetry-distinct sites (fractional):
1 La 0.000 0.000 0.500 [3 per cell]
2 Sb 0.500 0.500 0.500 [1 per cell]


Energetically preferred structure: 2 | next structure: +3.8 kJ/mol of atoms


1 | This record from Alexandria via LeMat-Bulk describes a relaxed structure of La3Sb. The functional is GGA-PBEsol.

Results
**Crystal system**: hexagonal

a b c (Å): 6.9344 6.9344 11.3525
angles (deg): 90.00 90.00 120.00
Space group P6_3/mmc (No. 194)
Symmetry-distinct sites (fractional):
1 La 0.0000 0.5000 0.0000 [6 per cell]
2 La 0.1590 0.3181 0.2500 [6 per cell]
3 Sb 0.0000 0.0000 0.0000 [2 per cell]
4 Sb 0.3333 0.6667 0.7500 [2 per cell]


2 | This record from Alexandria via LeMat-Bulk describes a relaxed structure of La3Sb. The functional is GGA-PBEsol.

Results
**Crystal system**: cubic

a b c (Å): 7.815 7.815 7.815
angles (deg): 90.00 90.00 90.00
Space group Fm-3m (No. 225)
Symmetry-distinct sites (fractional):
1 La 0.000 0.000 0.000 [4 per cell]
2 La 0.250 0.250 0.250 [8 per cell]
3 Sb 0.000 0.000 0.500 [4 per cell]


3 | This record from Alexandria via LeMat-Bulk describes a relaxed structure of La3Sb. The functional is GGA-PBEsol.

Results
**Crystal system**: tetragonal

a b c (Å): 4.165 4.165 7.182
angles (deg): 90.00 90.00 90.00
Space group P4/mmm (No. 123)
Symmetry-distinct sites (fractional):
1 La 0.000 0.000 0.000 [1 per cell]
2 La 0.500 0.500 0.286 [2 per cell]
3 Sb 0.000 0.000 0.500 [1 per cell]


Energetically preferred structure: 1 | next structure: +5.7 kJ/mol of atoms


1 | This record from Alexandria via LeMat-Bulk describes a relaxed structure of La2TlSb. The functional is GGA-PBEsol.

Results
**Crystal system**: tetragonal

a b c (Å): 4.067 4.067 7.107
angles (deg): 90.00 90.00 90.00
Space group P4/mmm (No. 123)
Symmetry-distinct sites (fractional):
1 La 0.000 0.000 0.238 [2 per cell]
2 Tl 0.500 0.500 0.500 [1 per cell]
3 Sb 0.500 0.500 0.000 [1 per cell]


2 | This record from Alexandria via LeMat-Bulk describes a relaxed structure of La2TlSb. The functional is GGA-PBEsol.

Results
**Crystal system**: tetragonal

a b c (Å): 5.138 5.138 4.388
angles (deg): 90.00 90.00 90.00
Space group P4/mmm (No. 123)
Symmetry-distinct sites (fractional):
1 La 0.000 0.500 0.000 [2 per cell]
2 Tl 0.000 0.000 0.500 [1 per cell]
3 Sb 0.500 0.500 0.500 [1 per cell]


3 | This record from Alexandria via LeMat-Bulk describes a relaxed structure of La2TlSb. The functional is GGA-PBEsol.

Results
**Crystal system**: orthorhombic

a b c (Å): 4.487 4.664 11.877
angles (deg): 90.00 90.00 90.00
Space group Amm2 (No. 38)
Symmetry-distinct sites (fractional):
1 La 0.000 0.000 0.000 [2 per cell]
2 La 0.500 0.000 0.269 [2 per cell]
3 Tl 0.000 0.000 0.731 [2 per cell]
4 Sb 0.500 0.000 0.545 [2 per cell]


Energetically preferred structure: 1 | next structure: +0.9 kJ/mol of atoms


1 | This record from Alexandria via LeMat-Bulk describes a relaxed structure of LaY3Sb. The functional is GGA-PBEsol.

Results
**Crystal system**: cubic

a b c (Å): 5.447 5.447 5.447
angles (deg): 90.00 90.00 90.00
Space group Pm-3m (No. 221)
Symmetry-distinct sites (fractional):
1 La 0.000 0.000 0.000 [1 per cell]
2 Y 0.000 0.000 0.500 [3 per cell]
3 Sb 0.500 0.500 0.500 [1 per cell]


2 | This record from Alexandria via LeMat-Bulk describes a relaxed structure of LaY3Sb. The functional is GGA-PBEsol.

Results
**Crystal system**: cubic

a b c (Å): 5.688 5.688 5.688
angles (deg): 90.00 90.00 90.00
Space group Pm-3m (No. 221)
Symmetry-distinct sites (fractional):
1 La 0.000 0.000 0.000 [1 per cell]
2 Y 0.000 0.500 0.500 [3 per cell]
3 Sb 0.500 0.500 0.500 [1 per cell]


Energetically preferred structure: 2 | next structure: +63.7 kJ/mol of atoms


1 | This record from Alexandria via LeMat-Bulk describes a relaxed structure of La2ZnSb. The functional is GGA-PBEsol.

Results
**Crystal system**: orthorhombic

a b c (Å): 4.306 4.532 11.683
angles (deg): 90.00 90.00 90.00
Space group Amm2 (No. 38)
Symmetry-distinct sites (fractional):
1 La 0.000 0.000 0.000 [2 per cell]
2 La 0.500 0.000 0.287 [2 per cell]
3 Zn 0.000 0.000 0.728 [2 per cell]
4 Sb 0.500 0.000 0.572 [2 per cell]


2 | This record from Alexandria via LeMat-Bulk describes a relaxed structure of La2ZnSb. The functional is GGA-PBEsol.

Results
**Crystal system**: trigonal

a b c (Å): 4.4011 4.4011 22.7058
angles (deg): 90.00 90.00 120.00
Space group R-3m (No. 166, hexagonal axes)
Symmetry-distinct sites (fractional):
1 La 0.0000 0.0000 0.2487 [6 per cell]
2 Zn 0.0000 0.0000 0.0000 [3 per cell]
3 Sb 0.0000 0.0000 0.5000 [3 per cell]


Energetically preferred structure: 1 | next structure: +14.4 kJ/mol of atoms


1 | This record from Alexandria via LeMat-Bulk describes a relaxed structure of LaZrSb2. The functional is GGA-PBEsol.

Results
**Crystal system**: tetragonal

a b c (Å): 3.222 3.222 10.473
angles (deg): 90.00 90.00 90.00
Space group P4mm (No. 99)
Symmetry-distinct sites (fractional):
1 La 0.000 0.000 0.000 [1 per cell]
2 Zr 0.500 0.500 0.727 [1 per cell]
3 Sb 0.000 0.000 0.526 [1 per cell]
4 Sb 0.500 0.500 0.233 [1 per cell]


2 | This record from Alexandria via LeMat-Bulk describes a relaxed structure of LaZrSb2. The functional is GGA-PBEsol.

Results
**Crystal system**: orthorhombic

a b c (Å): 4.856 3.998 11.067
angles (deg): 90.00 90.00 90.00
Space group Amm2 (No. 38)
Symmetry-distinct sites (fractional):
1 La 0.000 0.000 0.000 [2 per cell]
2 Zr 0.500 0.000 0.748 [2 per cell]
3 Sb 0.000 0.000 0.273 [2 per cell]
4 Sb 0.500 0.000 0.476 [2 per cell]


3 | This record from Alexandria via LeMat-Bulk describes a relaxed structure of LaZrSb2. The functional is GGA-PBEsol.

Results
**Crystal system**: trigonal

a b c (Å): 4.2760 4.2760 21.3625
angles (deg): 90.00 90.00 120.00
Space group R-3m (No. 166, hexagonal axes)
Symmetry-distinct sites (fractional):
1 La 0.0000 0.0000 0.0000 [3 per cell]
2 Zr 0.0000 0.0000 0.5000 [3 per cell]
3 Sb 0.0000 0.0000 0.2406 [6 per cell]


4 | This record from Alexandria via LeMat-Bulk describes a relaxed structure of LaZrSb2. The functional is GGA-PBEsol.

Results
**Crystal system**: monoclinic

a b c (Å): 6.607 7.850 3.923
angles (deg): 90.00 91.68 90.00
Space group C2/m (No. 12)
Symmetry-distinct sites (fractional):
1 La 0.000 0.000 0.000 [2 per cell]
2 Zr 0.000 0.500 0.000 [2 per cell]
3 Sb 0.250 0.250 0.500 [4 per cell]


Energetically preferred structure: 3 | next structure: +22.0 kJ/mol of atoms


1 | This record from Alexandria via LeMat-Bulk describes a relaxed structure of LaSc. The functional is GGA-PBEsol.

Results
**Crystal system**: trigonal

a b c (Å): 3.4478 3.4478 16.2378
angles (deg): 90.00 90.00 120.00
Space group R-3m (No. 166, hexagonal axes)
Symmetry-distinct sites (fractional):
1 La 0.0000 0.0000 0.0000 [3 per cell]
2 Sc 0.0000 0.0000 0.5000 [3 per cell]


2 | This record from Alexandria via LeMat-Bulk describes a relaxed structure of LaSc. The functional is GGA-PBEsol.

Results
**Crystal system**: orthorhombic

a b c (Å): 3.457 5.575 5.865
angles (deg): 90.00 90.00 90.00
Space group Pmmn (No. 59, origin choice 2)
Symmetry-distinct sites (fractional):
1 La 0.250 0.250 0.085 [2 per cell]
2 Sc 0.250 0.750 0.418 [2 per cell]


Energetically preferred structure: 1 | next structure: +2.0 kJ/mol of atoms


1 | This record from Alexandria via LeMat-Bulk describes a relaxed structure of LaSc. The functional is GGA-PBEsol.

Results
**Crystal system**: tetragonal

a b c (Å): 4.800 4.800 9.853
angles (deg): 90.00 90.00 90.00
Space group I4_1/amd (No. 141, origin choice 2)
Symmetry-distinct sites (fractional):
1 La 0.000 0.250 0.375 [4 per cell]
2 Sc 0.000 0.250 0.875 [4 per cell]


2 | This record from Alexandria via LeMat-Bulk describes a relaxed structure of LaSc. The functional is GGA-PBEsol.

Results
**Crystal system**: hexagonal

a b c (Å): 3.4175 3.4175 16.7733
angles (deg): 90.00 90.00 120.00
Space group P-6m2 (No. 187)
Symmetry-distinct sites (fractional):
1 La 0.0000 0.0000 0.0000 [1 per cell]
2 La 0.6667 0.3333 0.1874 [2 per cell]
3 Sc 0.0000 0.0000 0.3528 [2 per cell]
4 Sc 0.6667 0.3333 0.5000 [1 per cell]


Energetically preferred structure: 2 | next structure: +2.2 kJ/mol of atoms


1 | This record from Alexandria via LeMat-Bulk describes a relaxed structure of LaSc. The functional is GGA-PBEsol.

Results
**Crystal system**: orthorhombic

a b c (Å): 5.516 3.476 17.868
angles (deg): 90.00 90.00 90.00
Space group Amm2 (No. 38)
Symmetry-distinct sites (fractional):
1 La 0.000 0.000 0.000 [2 per cell]
2 La 0.000 0.000 0.328 [2 per cell]
3 La 0.500 0.000 0.554 [2 per cell]
4 Sc 0.000 0.000 0.668 [2 per cell]
5 Sc 0.500 0.000 0.219 [2 per cell]
6 Sc 0.500 0.000 0.876 [2 per cell]


2 | This record from Alexandria via LeMat-Bulk describes a relaxed structure of LaSc. The functional is GGA-PBEsol.

Results
**Crystal system**: monoclinic

a b c (Å): 11.959 3.576 5.742
angles (deg): 90.00 111.43 90.00
Space group C2/m (No. 12)
Symmetry-distinct sites (fractional):
1 La 0.121 0.000 0.332 [4 per cell]
2 Sc 0.139 0.500 0.839 [4 per cell]


Energetically preferred structure: 2 | next structure: +1.8 kJ/mol of atoms


1 | This record from Alexandria via LeMat-Bulk describes a relaxed structure of LaSc. The functional is GGA-PBEsol.

Results
**Crystal system**: monoclinic

a b c (Å): 10.506 6.001 6.529
angles (deg): 90.00 123.10 90.00
Space group C2 (No. 5)
Symmetry-distinct sites (fractional):
1 La 0.000 0.000 0.000 [2 per cell]
2 La 0.152 0.654 0.488 [4 per cell]
3 Sc 0.000 0.173 0.500 [2 per cell]
4 Sc 0.177 0.488 0.012 [4 per cell]


2 | This record from Alexandria via LeMat-Bulk describes a relaxed structure of LaSc. The functional is GGA-PBEsol.

Results
**Crystal system**: hexagonal

a b c (Å): 3.4379 3.4379 10.8275
angles (deg): 90.00 90.00 120.00
Space group P6_3/mmc (No. 194)
Symmetry-distinct sites (fractional):
1 La 0.0000 0.0000 0.0000 [2 per cell]
2 Sc 0.3333 0.6667 0.2500 [2 per cell]


Energetically preferred structure: 2 | next structure: +3.0 kJ/mol of atoms